(1)
Dy7YEr2, relaxed, DFT PBE-GGA; energy above the lowest structure with this stoichiometry = 0.00 kJ per mole of atoms; calculated formation energy = 0.20 eV per formula unit; electronic total energy = -4.7601 eV/atom; Fermi-level density of states = 1.43 states/eV/atom
1.0
6.1187 0.0000 0.0000
-1.0332 6.0429 0.0000
-3.0424 -2.5915 8.4654
Dy Y Er
7 1 2
Direct
0.0000 0.0000 0.0000
0.2003 0.5007 0.9007
0.2006 0.0000 0.3993
0.4004 0.5001 0.2993
0.5996 0.4999 0.7007
0.7994 0.0000 0.6007
0.7997 0.4993 0.0993
0.0000 0.5000 0.5000
0.4002 0.0011 0.8005
0.5998 0.9989 0.1995

(2)
CaLaSc, relaxed, DFT PBE-GGA; energy above the lowest structure with this stoichiometry = 74.15 kJ per mole of atoms; calculated formation energy = 2.64 eV per formula unit; electronic total energy = -3.5392 eV/atom; Fermi-level density of states = 2.33 states/eV/atom
1.0
0.0000 3.8954 3.8954
3.8954 0.0000 3.8954
3.8954 3.8954 0.0000
Ca La Sc
1 1 1
Direct
0.0000 0.0000 0.0000
0.2500 0.2500 0.2500
0.5000 0.5000 0.5000

Question: The highest energy above the lowest structure with this stoichiometry belongs to which entry?
Answer: CaLaSc

Question: Look up the electronic total energy of the first one.
Answer: -4.7601 eV/atom

Question: Which value of electronic total energy does entry 2 give?
Answer: -3.5392 eV/atom

Question: Which of these has the highest calculated formation energy?
Answer: CaLaSc